VASP calculation (PBE+U) on a geometry-optimized VBPbF2 structure.

```
VBPbF2
1.0
-3.473 0.063 -1.568
0.266 -5.958 -0.829
-1.560 -0.548 3.433
Pb B F V
1 1 2 1
Direct
0.000 0.500 0.000
0.500 0.500 0.500
0.000 0.000 0.500
0.500 0.000 0.000
0.000 0.000 0.000
```

SG: P4/mmm, No. 123
E_tot: -22.8 eV/cell
Total moment: 0.000 μB/f.u.